Run one
DFT (PBE) results for a relaxed structure of ScBeSe2N.

a b c (Å): 5.195 5.195 4.070
angles (deg): 90.00 90.00 90.00
Fractional positions:
Sc: 0.000 0.000 0.000
Be: 0.500 0.500 0.500
Se: 0.000 0.500 0.000
Se: 0.500 0.000 0.000
N: 0.000 0.000 0.500

## Properties
symmetry: P4/mmm
calculated volume: 109.9 Å³ per cell
DOS(E_F): 3.2 states/eV/cell

---

Run two
DFT (PBE) results for a relaxed structure of ScBeSe2N.

a b c (Å): 4.909 4.909 3.243
angles (deg): 90.00 90.00 90.00
Fractional positions:
Sc: 0.000 0.000 0.000
Be: 0.500 0.500 0.500
Se: 0.000 0.500 0.500
Se: 0.500 0.000 0.500
N: 0.500 0.500 0.000

## Properties
symmetry: P4/mmm
calculated volume: 78.2 Å³ per cell
DOS(E_F): 2.7 states/eV/cell

---

Energy ordering: run two at the bottom, the next structure 704 meV/atom above.

---

Run one
DFT (PBE) results for a relaxed structure of ScBeTeN2.

a b c (Å): 3.784 3.784 5.159
angles (deg): 90.00 90.00 90.00
Fractional positions:
Sc: 0.000 0.000 0.000
Be: 0.500 0.500 0.500
Te: 0.500 0.500 0.000
N: 0.000 0.500 0.500
N: 0.500 0.000 0.500

## Properties
symmetry: P4/mmm
calculated volume: 73.9 Å³ per cell
DOS(E_F): 2.6 states/eV/cell

---

Run two
DFT (PBE) results for a relaxed structure of ScBeTeN2.

a b c (Å): 3.996 3.996 6.191
angles (deg): 90.00 90.00 90.00
Fractional positions:
Sc: 0.000 0.000 0.000
Be: 0.500 0.500 0.500
Te: 0.000 0.000 0.500
N: 0.000 0.500 0.000
N: 0.500 0.000 0.000

## Properties
symmetry: P4/mmm
calculated volume: 98.8 Å³ per cell
DOS(E_F): 1.9 states/eV/cell

---

Energy ordering: run one at the bottom, the next structure 162 meV/atom above.

---

Run one
DFT (PBE) results for a relaxed structure of ScBeTe2N.

a b c (Å): 5.557 5.557 3.114
angles (deg): 90.00 90.00 90.00
Fractional positions:
Sc: 0.000 0.000 0.000
Be: 0.500 0.500 0.500
Te: 0.000 0.500 0.500
Te: 0.500 0.000 0.500
N: 0.500 0.500 0.000

## Properties
symmetry: P4/mmm
calculated volume: 96.1 Å³ per cell
DOS(E_F): 3.3 states/eV/cell

---

Run two
DFT (PBE) results for a relaxed structure of ScBeTe2N.

a b c (Å): 5.697 5.697 3.863
angles (deg): 90.00 90.00 90.00
Fractional positions:
Sc: 0.000 0.000 0.000
Be: 0.500 0.500 0.500
Te: 0.000 0.500 0.000
Te: 0.500 0.000 0.000
N: 0.000 0.000 0.500

## Properties
symmetry: P4/mmm
calculated volume: 125.4 Å³ per cell
DOS(E_F): 5.3 states/eV/cell

---

Energy ordering: run one at the bottom, the next structure 661 meV/atom above.

---

Run one
DFT (PBE) results for a relaxed structure of BeSe2N2.

a b c (Å): 4.644 4.644 3.072
angles (deg): 90.00 90.00 90.00
Fractional positions:
Be: 0.000 0.000 0.000
Se: 0.000 0.500 0.000
Se: 0.500 0.000 0.000
N: 0.000 0.000 0.500
N: 0.500 0.500 0.500

## Properties
symmetry: P4/mmm
calculated volume: 66.2 Å³ per cell
DOS(E_F): 3.8 states/eV/cell

---

Run two
DFT (PBE) results for a relaxed structure of BeSe2N2.

a b c (Å): 3.597 3.597 7.011
angles (deg): 90.00 90.00 90.00
Fractional positions:
Be: 0.000 0.000 0.000
Se: 0.500 0.500 0.000
Se: 0.500 0.500 0.500
N: 0.000 0.500 0.500
N: 0.500 0.000 0.500

## Properties
symmetry: P4/mmm
calculated volume: 90.7 Å³ per cell
DOS(E_F): 2.2 states/eV/cell

---

Run three
DFT (PBE) results for a relaxed structure of BeSe2N2.

a b c (Å): 3.515 3.515 7.441
angles (deg): 90.00 90.00 90.00
Fractional positions:
Be: 0.000 0.000 0.000
Se: 0.000 0.000 0.500
Se: 0.500 0.500 0.500
N: 0.000 0.500 0.000
N: 0.500 0.000 0.000

## Properties
symmetry: P4/mmm
calculated volume: 91.9 Å³ per cell
DOS(E_F): 3.2 states/eV/cell

---

Run four
DFT (PBE) results for a relaxed structure of BeSe2N2.

a b c (Å): 4.237 4.237 3.655
angles (deg): 90.00 90.00 90.00
Fractional positions:
Be: 0.000 0.000 0.000
Se: 0.000 0.500 0.500
Se: 0.500 0.000 0.500
N: 0.500 0.500 0.000
N: 0.500 0.500 0.500

## Properties
symmetry: P4/mmm
calculated volume: 65.6 Å³ per cell
DOS(E_F): 2.8 states/eV/cell

---

Energy ordering: run three at the bottom, the next structure 260 meV/atom above.

---

Run one
DFT (PBE) results for a relaxed structure of Be3SeN.

a b c (Å): 4.115 4.115 4.115
angles (deg): 90.00 90.00 90.00
Fractional positions:
Be: 0.000 0.000 0.500
Be: 0.000 0.500 0.000
Be: 0.500 0.000 0.000
Se: 0.000 0.000 0.000
N: 0.500 0.500 0.500

## Properties
symmetry: Pm-3m
calculated volume: 69.7 Å³ per cell
DOS(E_F): 3.5 states/eV/cell

---

Run two
DFT (PBE) results for a relaxed structure of Be3SeN.

a b c (Å): 3.660 3.660 3.660
angles (deg): 90.00 90.00 90.00
Fractional positions:
Be: 0.000 0.000 0.500
Be: 0.000 0.500 0.000
Be: 0.500 0.000 0.000
Se: 0.500 0.500 0.500
N: 0.000 0.000 0.000

## Properties
symmetry: Pm-3m
calculated volume: 49.0 Å³ per cell
DOS(E_F): 2.4 states/eV/cell

---

Energy ordering: run two at the bottom, the next structure 1736 meV/atom above.

---

Run one
DFT (PBE) results for a relaxed structure of BeSeN2.

a b c (Å): 5.405 5.405 5.405
angles (deg): 131.19 131.19 71.52
Fractional positions:
Be: 0.000 0.000 0.000
Be: 0.750 0.250 0.500
Se: 0.250 0.750 0.500
Se: 0.500 0.500 0.000
N: 0.056 0.625 0.931
N: 0.375 0.306 0.431
N: 0.694 0.125 0.069
N: 0.875 0.944 0.569

## Properties
symmetry: I-42d
calculated volume: 87.5 Å³ per cell
DOS(E_F): 2.1 states/eV/cell

---

Run two
DFT (PBE) results for a relaxed structure of BeSeN2.

a b c (Å): 5.604 5.604 5.604
angles (deg): 33.43 33.43 33.43
Fractional positions:
Be: 0.000 0.000 0.000
Se: 0.500 0.500 0.500
N: 0.097 0.097 0.097
N: 0.903 0.903 0.903

## Properties
symmetry: R-3m
calculated volume: 47.6 Å³ per cell
DOS(E_F): 0.1 states/eV/cell

---

Energy ordering: run one at the bottom, the next structure 131 meV/atom above.